Entry 1:
K2SrMg | meta-GGA SCAN | PBEsol geometry

Summary:
Space group: I4/mmm

Unit cell a=5.4013 b=5.4013 c=7.6049 alpha=110.80 beta=110.80 gamma=90.00
Element x y z (fractional)
K  0.2500  0.7500  0.5000
K  0.7500  0.2500  0.5000
Mg  0.5000  0.5000  0.0000
Sr  0.0000  0.0000  0.0000

Entry 2:
K2SrMg | meta-GGA SCAN | PBEsol geometry

Summary:
Space group: I-4m2

Unit cell a=6.4539 b=6.4740 c=6.4539 alpha=60.10 beta=90.00 gamma=119.90
Element x y z (fractional)
K  0.0000  0.0000  0.0000
K  0.2500  0.5000  0.2500
Mg  0.5000  0.0000  0.5000
Sr  0.7500  0.5000  0.7500

Entry 3:
KSr2Mg2 | meta-GGA SCAN | PBEsol geometry

Summary:
Space group: I4/mmm

Unit cell a=4.2782 b=4.2782 c=12.9091 alpha=99.54 beta=99.54 gamma=90.00
Element x y z (fractional)
K  0.0000  0.0000  0.0000
Mg  0.2500  0.7500  0.5000
Mg  0.7500  0.2500  0.5000
Sr  0.3656  0.3656  0.7312
Sr  0.6344  0.6344  0.2688

Entry 4:
KSrMg4 | meta-GGA SCAN | PBEsol geometry

Summary:
Space group: F-43m

Unit cell a=6.4416 b=6.4416 c=6.4416 alpha=60.00 beta=60.00 gamma=60.00
Element x y z (fractional)
Mg  0.3753  0.3753  0.3753
Mg  0.3753  0.8742  0.3753
Mg  0.3753  0.3753  0.8742
Mg  0.8742  0.3753  0.3753
K  0.0000  0.0000  0.0000
Sr  0.7500  0.7500  0.7500

Entry 5:
KMgTa2 | meta-GGA SCAN | PBEsol geometry

Summary:
Space group: F-43m

Unit cell a=4.9084 b=4.9084 c=4.9084 alpha=60.00 beta=60.00 gamma=60.00
Site moments in Bohr magnetons follow the coordinates.
Element x y z (fractional)
Ta  0.0000  0.0000  0.0000  0.12
Ta  0.7500  0.7500  0.7500  0.45
Mg  0.2500  0.2500  0.2500  0.00
K  0.5000  0.5000  0.5000  0.01

Entry 6:
K3MgTa | meta-GGA SCAN | PBEsol geometry

Summary:
Space group: Pm-3m

Unit cell a=6.4022 b=6.4022 c=6.4022 alpha=90.00 beta=90.00 gamma=90.00
Site moments in Bohr magnetons follow the coordinates.
Element x y z (fractional)
K  0.0000  0.0000  0.5000  0.02
K  0.0000  0.5000  0.0000  0.02
K  0.5000  0.0000  0.0000  0.02
Mg  0.0000  0.0000  0.0000  0.01
Ta  0.5000  0.5000  0.5000  2.43

Entry 7:
K2MgTa | meta-GGA SCAN | PBEsol geometry

Summary:
Space group: P4/mmm

Unit cell a=2.8551 b=6.7116 c=6.7116 alpha=90.00 beta=90.00 gamma=90.00
Site moments in Bohr magnetons follow the coordinates.
Element x y z (fractional)
K  0.0000  0.5000  0.0000  0.02
K  0.0000  0.0000  0.5000  0.02
Mg  0.5000  0.5000  0.5000  0.00
Ta  0.5000  0.0000  0.0000  0.97

Entry 8:
KMgTa2 | meta-GGA SCAN | PBEsol geometry

Summary:
Space group: Pmmm

Unit cell a=2.9201 b=5.0947 c=5.7655 alpha=90.00 beta=90.00 gamma=90.00
Site moments in Bohr magnetons follow the coordinates.
Element x y z (fractional)
Ta  0.0000  0.0000  0.0000  -0.39
Ta  0.5000  0.5000  0.0000  0.04
K  0.5000  0.0000  0.5000  -0.04
Mg  0.0000  0.5000  0.5000  0.00

Entry 9:
K2MgTa | meta-GGA SCAN | PBEsol geometry

Summary:
Space group: R-3m

Unit cell a=3.0986 b=3.0986 c=13.1348 alpha=83.23 beta=83.23 gamma=60.00
Element x y z (fractional)
Mg  0.5000  0.5000  0.5000
K  0.7471  0.7471  0.7587
K  0.2529  0.2529  0.2413
Ta  0.0000  0.0000  0.0000

Entry 10:
KMgTc2 | meta-GGA SCAN | PBEsol geometry

Summary:
Space group: P4/mmm

Unit cell a=3.7756 b=3.7756 c=4.9981 alpha=90.00 beta=90.00 gamma=90.00
Element x y z (fractional)
Tc  0.0000  0.5000  0.0000
Tc  0.5000  0.0000  0.0000
K  0.5000  0.5000  0.5000
Mg  0.0000  0.0000  0.5000

Entry 11:
KMgTc2 | meta-GGA SCAN | PBEsol geometry

Summary:
Space group: F-43m

Unit cell a=4.6119 b=4.6119 c=4.6119 alpha=60.00 beta=60.00 gamma=60.00
Element x y z (fractional)
Tc  0.7500  0.7500  0.7500
Tc  0.0000  0.0000  0.0000
Mg  0.2500  0.2500  0.2500
K  0.5000  0.5000  0.5000

Entry 12:
KMgTc2 | meta-GGA SCAN | PBEsol geometry

Summary:
Space group: P2/m

Unit cell a=2.6718 b=4.6413 c=7.1364 alpha=90.00 beta=95.14 gamma=90.00
Element x y z (fractional)
Mg  0.5000  0.5000  0.5000
Tc  0.0388  0.0000  0.6544
Tc  0.9612  0.0000  0.3456
K  0.5000  0.5000  0.0000

Total energy for the records above, in order: -43.164, -43.147, -61.966, -50.216, -141.112, -88.370, -82.887, -141.986, -84.267, -78.352, -78.751, -80.550 eV per formula unit
Energy of formation for the records above, in order: 0.186, 0.190, 0.172, 0.047, 1.339, 1.635, 1.332, 1.121, 0.987, 1.267, 1.168, 0.718 eV/atom